(1)
# TaAlAs3

Crystalline TaAlAs3 at its relaxed geometry (GGA-PBE, Alexandria).

## Properties
- ΔE_f: 387 meV/atom
- Final energy: -5.52 eV/atom

Unit cell a=5.016 b=5.016 c=5.016 alpha=90.00 beta=90.00 gamma=90.00
Atoms (fractional coordinates):
As (0.000, 0.500, 0.000)
As (0.000, 0.000, 0.500)
As (0.500, 0.000, 0.000)
Al (0.500, 0.500, 0.500)
Ta (0.000, 0.000, 0.000)

(2)
# TaAlAs

Crystalline TaAlAs at its relaxed geometry (GGA-PBE, Alexandria).

## Properties
- ΔE_f: 37 meV/atom
- Final energy: -6.71 eV/atom

Unit cell a=6.898 b=6.756 c=2.913 alpha=80.43 beta=74.96 gamma=24.61
Atoms (fractional coordinates):
As (0.322, 0.322, 0.678)
Al (0.010, 0.010, 0.990)
Ta (0.668, 0.668, 0.332)

(3)
# TaAlAs2

Crystalline TaAlAs2 at its relaxed geometry (GGA-PBE, Alexandria).

## Properties
- ΔE_f: -137 meV/atom
- Final energy: -6.36 eV/atom

Unit cell a=3.601 b=3.601 c=5.499 alpha=90.00 beta=90.00 gamma=90.00
Atoms (fractional coordinates):
As (0.000, 0.000, 0.938)
As (0.500, 0.500, 0.320)
Al (0.500, 0.500, 0.790)
Ta (0.000, 0.000, 0.452)

(4)
# TaAlAs

Crystalline TaAlAs at its relaxed geometry (GGA-PBE, Alexandria).

## Properties
- ΔE_f: 62 meV/atom
- Final energy: -6.69 eV/atom

Unit cell a=6.785 b=6.785 c=6.785 alpha=155.39 beta=155.39 gamma=35.08
Atoms (fractional coordinates):
As (0.322, 0.322, 0.000)
Al (0.013, 0.013, 0.000)
Ta (0.665, 0.665, 0.000)

(5)
# TaAlAs2

Crystalline TaAlAs2 at its relaxed geometry (GGA-PBE, Alexandria).

## Properties
- ΔE_f: -287 meV/atom
- Final energy: -6.51 eV/atom

Unit cell a=5.582 b=5.582 c=3.761 alpha=90.00 beta=90.00 gamma=37.75
Atoms (fractional coordinates):
As (0.031, 0.031, 0.125)
As (0.754, 0.754, 0.625)
Al (0.262, 0.262, 0.125)
Ta (0.453, 0.453, 0.625)

(6)
# TaAlAs2

Crystalline TaAlAs2 at its relaxed geometry (GGA-PBE, Alexandria).

## Properties
- ΔE_f: 43 meV/atom
- Final energy: -6.18 eV/atom

Unit cell a=3.023 b=3.023 c=8.179 alpha=90.00 beta=90.00 gamma=90.00
Atoms (fractional coordinates):
As (0.000, 0.000, 0.951)
As (0.500, 0.500, 0.289)
Al (0.500, 0.500, 0.743)
Ta (0.000, 0.000, 0.517)

(7)
# TaAlAs2

Crystalline TaAlAs2 at its relaxed geometry (GGA-PBE, Alexandria).

## Properties
- ΔE_f: -34 meV/atom
- Final energy: -6.26 eV/atom

Unit cell a=2.881 b=2.881 c=9.815 alpha=90.00 beta=90.00 gamma=104.73
Atoms (fractional coordinates):
As (0.000, 0.000, 0.940)
As (0.500, 0.500, 0.310)
Al (0.500, 0.500, 0.733)
Ta (0.000, 0.000, 0.517)

(8)
# TaAlAs

Crystalline TaAlAs at its relaxed geometry (GGA-PBE, Alexandria).

## Properties
- ΔE_f: -263 meV/atom
- Final energy: -7.01 eV/atom

Unit cell a=4.812 b=8.632 c=4.787 alpha=90.00 beta=90.00 gamma=90.00
Atoms (fractional coordinates):
As (0.000, 0.602, 0.250)
As (0.000, 0.398, 0.750)
As (0.500, 0.102, 0.250)
As (0.500, 0.898, 0.750)
Al (0.000, 0.928, 0.250)
Al (0.000, 0.072, 0.750)
Al (0.500, 0.428, 0.250)
Al (0.500, 0.572, 0.750)
Ta (0.000, 0.252, 0.250)
Ta (0.000, 0.748, 0.750)
Ta (0.500, 0.752, 0.250)
Ta (0.500, 0.248, 0.750)

- Which value of ΔE_f does entry 1 give?
  387 meV/atom